NaYBi2 | PBE | optimized geometry

Structure (POSCAR):
```
NaYBi2
1.0
8.486 0.000 0.000
0.000 8.486 0.000
4.243 4.243 3.451
Y Bi Na
2 4 2
Direct
0.000 0.000 0.000
0.750 0.250 0.500
0.618 0.125 0.250
0.375 0.382 0.750
0.132 0.625 0.250
0.875 0.868 0.750
0.500 0.500 0.000
0.250 0.750 0.500
```

Computed properties:
raw total energy = -4.21 eV/atom
energy relative to the elements = -327 meV per atom
N(E_F) = 0.10 states/eV/atom